Record 1
Entry from Alexandria: an optimized crystal structure of ThAgSb (PBE).

The space group is R-3m (No. 166, hexagonal axes) and the conventional cell measures 5.0232, 5.0232 and 24.1976 Å, with angles of 90.00, 90.00 and 120.00 degrees. The distinct sites, in fractional coordinates, are Th at (0.0000, 0.0000, 0.0758), Ag at (0.0000, 0.0000, 0.3335) and Sb at (0.0000, 0.0000, 0.2101).

The total energy is -90.868 eV/cell.

Record 2
Entry from Alexandria: an optimized crystal structure of ThAgSb3 (PBE).

The space group is Pbcm (No. 57) and the conventional cell measures 13.780, 6.251 and 6.226 Å, with angles of 90.00, 90.00 and 90.00 degrees. The distinct sites, in fractional coordinates, are Th at (0.181, 0.004, 0.250), Ag at (0.386, 0.250, 0.000), Sb at (0.000, 0.250, 0.000), Sb at (0.242, 0.508, 0.250) and Sb at (0.422, 0.672, 0.750).

The total energy is -98.249 eV/cell.

Record 3
Entry from Alexandria: an optimized crystal structure of ThAgSb2 (PBE).

The space group is P4/mmm (No. 123) and the conventional cell measures 4.901, 4.901 and 4.269 Å, with angles of 90.00, 90.00 and 90.00 degrees. The distinct sites, in fractional coordinates, are Th at (0.000, 0.000, 0.000), Ag at (0.500, 0.500, 0.000) and Sb at (0.000, 0.500, 0.500).

The total energy is -20.514 eV/cell.

Record 4
Entry from Alexandria: an optimized crystal structure of ThAgSb (PBE).

The space group is I4mm (No. 107) and the conventional cell measures 4.114, 4.114 and 9.485 Å, with angles of 90.00, 90.00 and 90.00 degrees. The distinct sites, in fractional coordinates, are Th at (0.000, 0.000, 0.000), Ag at (0.000, 0.000, 0.671) and Sb at (0.000, 0.000, 0.343).

The total energy is -30.780 eV/cell.